Entry 1:
## Y4ScTl2 (GGA-PBE)

Data for Y4ScTl2 after structural relaxation.

abc: 5.426 5.426 9.280
angles: 73.00 73.00 60.00
Last column: magnetic moment on the atom in μB.
Fractional coordinates of all 7 atoms:
Tl: 0.391 0.391 0.827  0.04
Y: 0.272 0.272 0.183  0.13
Tl: 0.609 0.609 0.173  0.04
Y: 0.728 0.728 0.817  0.13
Y: 0.129 0.129 0.612  0.23
Sc: 0.500 0.500 0.500  0.40
Y: 0.871 0.871 0.388  0.23

Values from the calculation:
The calculation puts the relative energy among the computed polymorphs at 0.1709 eV per atom. The space group is R-3m. The value obtained for the density of states at the Fermi level is 10.36 states/eV per cell. For the calculated volume, the calculation gives 222.69 Å³/f.u. As for the total magnetization: 2.2 Bohr magnetons per cell. The value obtained for the mass density is 6.03 g/cm³. The calculation puts the formation energy at 0.20 kcal/mol of atoms.

***

Entry 2:
## K2SiAu (GGA-PBE)

Data for K2SiAu after structural relaxation.

abc: 10.376 10.376 10.376
angles: 21.49 21.49 21.49
Last column: magnetic moment on the atom in μB.
Fractional coordinates of all 4 atoms:
Au: 0.750 0.750 0.750  0.00
Si: 0.250 0.250 0.250  0.19
K: 0.494 0.494 0.494  0.01
K: 0.006 0.006 0.006  0.01

Values from the calculation:
The space group is R-3m. The value obtained for the density of states at the Fermi level is 1.45 states/eV per cell. The energy relative to the elements, uncorrected comes out at 0.375 eV/atom. For the calculated volume, the calculation gives 131.30 Å³/f.u. As for the total magnetization: 0.7 Bohr magnetons per cell. The value obtained for the mass density is 3.84 g/cm³.

***

Entry 3:
## RbNbCd (GGA-PBE)

Data for RbNbCd after structural relaxation.

abc: 5.413 5.413 7.771
angles: 90.00 90.00 90.00
Last column: magnetic moment on the atom in μB.
Fractional coordinates of all 6 atoms:
Cd: 0.500 0.500 0.500  0.02
Cd: 0.000 0.000 0.500  0.02
Rb: 0.500 0.000 0.133  0.02
Nb: 0.000 0.500 0.415  1.06
Rb: 0.000 0.500 0.867  0.02
Nb: 0.500 0.000 0.585  1.06

Values from the calculation:
The calculation puts the relative energy among the computed polymorphs at 0.7509 eV per atom. The space group is P4/nmm. The value obtained for the density of states at the Fermi level is 3.83 states/eV per cell. For the calculated volume, the calculation gives 113.85 Å³/f.u. As for the total magnetization: 2.9 Bohr magnetons per cell. The value obtained for the mass density is 4.24 g/cm³. The calculation puts the formation energy at 24.37 kcal/mol of atoms.

***

Entry 4:
## NaGe4S7 (GGA-PBE)

Data for NaGe4S7 after structural relaxation.

abc: 7.104 6.225 15.129
angles: 90.00 90.00 90.00
Fractional coordinates of all 24 atoms:
S: 0.903 0.706 0.886
Ge: 0.589 0.229 0.746
S: 0.956 0.624 0.624
S: 0.454 0.861 0.000
Ge: 0.090 0.298 0.620
Ge: 0.090 0.298 0.380
S: 0.956 0.624 0.376
S: 0.403 0.294 0.614
S: 0.986 0.129 0.743
Ge: 0.590 0.702 0.120
S: 0.986 0.129 0.257
S: 0.486 0.871 0.243
Ge: 0.589 0.229 0.254
S: 0.456 0.376 0.124
Ge: 0.089 0.771 0.246
S: 0.403 0.294 0.386
Na: 0.650 0.526 0.500
S: 0.954 0.139 0.500
S: 0.456 0.376 0.876
Ge: 0.590 0.702 0.880
Ge: 0.089 0.771 0.754
Na: 0.150 0.474 0.000
S: 0.903 0.706 0.114
S: 0.486 0.871 0.757

Values from the calculation:
The space group is Pmn2_1. The value obtained for the density of states at the Fermi level is 7.06 states/eV per cell. The energy relative to the elements, uncorrected comes out at -0.343 eV/atom. For the calculated volume, the calculation gives 334.48 Å³/f.u. As for the total magnetization: 0.0 Bohr magnetons per cell. The value obtained for the mass density is 2.67 g/cm³.